The following is a DFT calculation (PBE-GGA) of a geometry-optimized Li3NdDy2S6 structure.

POSCAR file:
```
Li3NdDy2S6
1.0
-2.630 -4.282 4.682
6.540 2.037 0.494
-3.064 5.584 1.716
Li Nd Dy S
3 1 2 6
Direct
0.171 0.829 0.500 Li
0.829 0.171 0.500 Li
0.500 0.500 0.500 Li
0.000 0.000 0.000 Nd
0.334 0.666 0.000 Dy
0.666 0.334 0.000 Dy
0.917 0.574 0.748 S
0.742 0.742 0.253 S
0.083 0.426 0.252 S
0.574 0.917 0.748 S
0.258 0.258 0.747 S
0.426 0.083 0.252 S
```

Values from the calculation:
Spin magnetization   0.00 μB per formula unit
Energy relative to the elements, uncorrected   -1.824 eV/atom
Calculated density   4.5 Mg/m³